<1>
Crystalline CaTl2Mo at its relaxed geometry. Source: Alexandria, functional PBE-GGA.

Cell: 4.7767 4.7767 20.1477 Å, 90.00 90.00 90.00°
Last column: nearest neighbours and their distance in Å.
Space group I-42d (No. 122)
One atom of each set of equivalent atoms:
Ca (0.0000, 0.0000, 0.0000) [4 per cell]  4 Tl 3.14, 4 Mo 3.38
Tl (0.1956, 0.2500, 0.6250) [8 per cell]  2 Mo 2.94, 2 Tl 3.03, 2 Ca 3.14
Mo (0.0000, 0.0000, 0.5000) [4 per cell]  4 Tl 2.94

Properties
The magnetization comes out at 2.4 μB per formula unit.



<2>
Crystalline CaTl2Mo at its relaxed geometry. Source: Alexandria, functional PBE-GGA.

Cell: 3.4038 3.9062 6.9185 Å, 90.00 90.00 90.00°
Last column: nearest neighbours and their distance in Å.
Space group Pmmm (No. 47)
One atom of each set of equivalent atoms:
Ca (0.0000, 0.0000, 0.0000) [1 per cell]  8 Tl 3.23, 2 Ca 3.40, 2 Mo 3.46
Tl (0.5000, 0.5000, 0.2794) [2 per cell]  4 Mo 3.01, 1 Tl 3.05, 4 Ca 3.23
Mo (0.0000, 0.0000, 0.5000) [1 per cell]  8 Tl 3.01

Properties
The magnetization comes out at 0.0 μB per formula unit.



Least stable of them? <1>.



<1>
Crystalline AsSe2Cl at its relaxed geometry. Source: Alexandria, functional PBE-GGA.

Cell: 3.5201 7.6433 8.0134 Å, 90.00 90.00 90.00°
Last column: nearest neighbours and their distance in Å.
Space group Imm2 (No. 44)
One atom of each set of equivalent atoms:
As (0.0000, 0.0000, 0.0000) [2 per cell]  2 Se 2.51, 2 Cl 2.66
Se (0.0000, 0.0000, 0.4675) [2 per cell]  2 Se 2.63, 2 Cl 2.88
Se (0.0000, 0.5000, 0.7240) [2 per cell]  2 As 2.51, 2 Se 2.63
Cl (0.0000, 0.5000, 0.2513) [2 per cell]  2 As 2.66, 2 Se 2.88

Properties
The magnetization comes out at 0.0 μB per formula unit.



<2>
Crystalline AsSe2Cl at its relaxed geometry. Source: Alexandria, functional PBE-GGA.

Cell: 7.2624 5.3748 13.5501 Å, 90.00 101.18 90.00°
Last column: nearest neighbours and their distance in Å.
Space group P2_1/c (No. 14)
One atom of each set of equivalent atoms:
As (0.2047, 0.1866, 0.3814) [4 per cell]  1 Cl 2.26, 2 Se 2.42-2.45
Se (0.0666, 0.6545, 0.5592) [4 per cell]  1 Se 2.38, 1 As 2.42
Se (0.4663, 0.2175, 0.0191) [4 per cell]  1 As 2.45, 1 Se 2.46
Cl (0.2502, 0.0153, 0.7705) [4 per cell]  1 As 2.26

Properties
The magnetization comes out at 0.0 μB per formula unit.



Least stable of them? <1>.



<1>
Crystalline MgNi3H at its relaxed geometry. Source: Alexandria, functional PBE-GGA.

Cell: 9.0408 5.2063 4.5793 Å, 90.00 109.75 90.00°
Last column: nearest neighbours and their distance in Å.
Space group Cm (No. 8)
One atom of each set of equivalent atoms:
Mg (0.0000, 0.0000, 0.0000) [2 per cell]  1 H 2.19
Mg (0.2383, 0.5000, 0.4405) [2 per cell]  11 Ni 2.56-2.69, 1 Mg 2.84
Ni (0.2441, 0.2468, 0.9559) [4 per cell]  2 H 1.83-1.96
Ni (0.2552, 0.0000, 0.4775) [2 per cell]  2 H 1.69-1.89
Ni (0.4936, 0.0000, 0.9522) [2 per cell]  1 H 1.84
Ni (0.4947, 0.2412, 0.4781) [4 per cell]  2 H 1.75-1.87
H (0.1168, 0.0000, 0.6509) [2 per cell]  3 Ni 1.69-1.75
H (0.3699, 0.0000, 0.1998) [2 per cell]  6 Ni 1.83-1.89

Properties
The magnetization comes out at 0.0 μB per formula unit.



<2>
Crystalline MgNi3H at its relaxed geometry. Source: Alexandria, functional PBE-GGA.

Cell: 2.7395 2.7395 16.3796 Å, 90.00 90.00 120.00°
Last column: nearest neighbours and their distance in Å.
Space group P6_3/mmc (No. 194)
One atom of each set of equivalent atoms:
Mg (0.0000, 0.0000, 0.0000) [2 per cell]  6 Ni 2.62, 6 Mg 2.74
Ni (0.0000, 0.0000, 0.2500) [2 per cell]  3 H 1.58
Ni (0.3333, 0.6667, 0.1274) [4 per cell]  1 H 2.01
H (0.3333, 0.6667, 0.2500) [2 per cell]  3 Ni 1.58

Properties
The magnetization comes out at 0.0 μB per formula unit.



Least stable of them? <2>.



<1>
Crystalline Be3C at its relaxed geometry. Source: Alexandria, functional PBE-GGA.

Cell: 9.6140 2.1917 3.0752 Å, 90.00 108.53 90.00°
Last column: nearest neighbours and their distance in Å.
Space group C2/m (No. 12)
One atom of each set of equivalent atoms:
Be (0.0000, 0.0000, 0.0000) [2 per cell]  4 C 1.89
Be (0.1832, 0.0000, 0.6829) [4 per cell]  2 C 2.00, 2 Be 2.19
C (0.0000, 0.5000, 0.5000) [2 per cell]  8 Be 1.89-2.00

Properties
The magnetization comes out at 0.0 μB per formula unit.



<2>
Crystalline Be3C at its relaxed geometry. Source: Alexandria, functional PBE-GGA.

Cell: 2.9618 4.3799 5.0602 Å, 90.00 90.00 90.00°
Last column: nearest neighbours and their distance in Å.
Space group Cmmm (No. 65)
One atom of each set of equivalent atoms:
Be (0.0000, 0.0000, 0.0000) [2 per cell]  4 Be 2.16
Be (0.0000, 0.5000, 0.3096) [4 per cell]  2 C 1.77, 1 Be 1.93
C (0.0000, 0.0000, 0.5000) [2 per cell]  4 Be 1.77

Properties
The magnetization comes out at 0.0 μB per formula unit.



Least stable of them? <2>.



<1>
Crystalline Al3Tl at its relaxed geometry. Source: Alexandria, functional PBE-GGA.

Cell: 4.5185 4.5185 8.0420 Å, 90.00 90.00 90.00°
Last column: nearest neighbours and their distance in Å.
Space group I4/mmm (No. 139)
One atom of each set of equivalent atoms:
Al (0.0000, 0.0000, 0.0000) [2 per cell]  8 Al 3.02, 4 Tl 3.20
Al (0.0000, 0.5000, 0.2500) [4 per cell]  4 Tl 3.02, 8 Al 3.02-3.20
Tl (0.0000, 0.0000, 0.5000) [2 per cell]  12 Al 3.02-3.20

Properties
The magnetization comes out at 0.0 μB per formula unit.



<2>
Crystalline Al3Tl at its relaxed geometry. Source: Alexandria, functional PBE-GGA.

Cell: 5.5618 5.5618 5.5618 Å, 90.00 90.00 90.00°
Last column: nearest neighbours and their distance in Å.
Space group Pm-3m (No. 221)
One atom of each set of equivalent atoms:
Al (0.0000, 0.0000, 0.5000) [3 per cell]  2 Tl 2.78
Tl (0.0000, 0.0000, 0.0000) [1 per cell]  6 Al 2.78

Properties
The magnetization comes out at 0.0 μB per formula unit.



Least stable of them? <2>.



<1>
Crystalline HfFeAs2P at its relaxed geometry. Source: Alexandria, functional PBE-GGA.

Cell: 4.8096 4.8096 4.0477 Å, 90.00 90.00 90.00°
Last column: nearest neighbours and their distance in Å.
Space group P4/mmm (No. 123)
One atom of each set of equivalent atoms:
Hf (0.0000, 0.0000, 0.0000) [1 per cell]  8 As 3.14, 4 Fe 3.40
Fe (0.5000, 0.5000, 0.0000) [1 per cell]  2 P 2.02
As (0.0000, 0.5000, 0.5000) [2 per cell]  2 P 2.40
P (0.5000, 0.5000, 0.5000) [1 per cell]  2 Fe 2.02

Properties
The magnetization comes out at 1.5 μB per formula unit.



<2>
Crystalline HfFeAs2P at its relaxed geometry. Source: Alexandria, functional PBE-GGA.

Cell: 4.2956 4.2956 5.1081 Å, 90.00 90.00 90.00°
Last column: nearest neighbours and their distance in Å.
Space group P4/mmm (No. 123)
One atom of each set of equivalent atoms:
Hf (0.0000, 0.0000, 0.0000) [1 per cell]  2 Fe 2.55
Fe (0.0000, 0.0000, 0.5000) [1 per cell]  4 As 2.15
As (0.0000, 0.5000, 0.5000) [2 per cell]  2 Fe 2.15
P (0.5000, 0.5000, 0.0000) [1 per cell]  4 Hf 3.04, 8 As 3.34

Properties
The magnetization comes out at 0.0 μB per formula unit.



Least stable of them? <1>.



<1>
Crystalline TiSe2Cl at its relaxed geometry. Source: Alexandria, functional PBE-GGA.

Cell: 3.3311 3.3311 28.0849 Å, 90.00 90.00 120.00°
Last column: nearest neighbours and their distance in Å.
Space group R-3m (No. 166, hexagonal axes)
One atom of each set of equivalent atoms:
Ti (0.0000, 0.0000, 0.0000) [3 per cell]  2 Se 2.38
Se (0.0000, 0.0000, 0.0846) [6 per cell]  1 Ti 2.38
Cl (0.0000, 0.0000, 0.5000) [3 per cell]  6 Se 3.00, 6 Cl 3.33

Properties
The magnetization comes out at 0.0 μB per formula unit.



<2>
Crystalline TiSe2Cl at its relaxed geometry. Source: Alexandria, functional PBE-GGA.

Cell: 3.6609 3.6609 24.0372 Å, 90.00 90.00 120.00°
Last column: nearest neighbours and their distance in Å.
Space group R-3m (No. 166, hexagonal axes)
One atom of each set of equivalent atoms:
Ti (0.0000, 0.0000, 0.0000) [3 per cell]  6 Se 2.57
Se (0.0000, 0.0000, 0.3945) [6 per cell]  1 Cl 2.54, 3 Ti 2.57
Cl (0.0000, 0.0000, 0.5000) [3 per cell]  2 Se 2.54

Properties
The magnetization comes out at 0.0 μB per formula unit.



Least stable of them? <1>.



<1>
Crystalline Al2TeP at its relaxed geometry. Source: Alexandria, functional PBE-GGA.

Cell: 3.4525 3.6134 13.1330 Å, 90.00 90.00 90.00°
Last column: nearest neighbours and their distance in Å.
Space group Imm2 (No. 44)
One atom of each set of equivalent atoms:
Al (0.0000, 0.0000, 0.0000) [2 per cell]  2 P 2.52
Al (0.0000, 0.5000, 0.1937) [2 per cell]  4 P 2.60
Te (0.0000, 0.0000, 0.3842) [2 per cell]  6 Al 2.93-3.09
P (0.0000, 0.5000, 0.6399) [2 per cell]  6 Al 2.52-2.60

Properties
The magnetization comes out at 0.0 μB per formula unit.



<2>
Crystalline Al2TeP at its relaxed geometry. Source: Alexandria, functional PBE-GGA.

Cell: 5.5898 7.8075 4.7818 Å, 90.00 125.27 90.00°
Last column: nearest neighbours and their distance in Å.
Space group C2/m (No. 12)
One atom of each set of equivalent atoms:
Al (0.2500, 0.2500, 0.0000) [4 per cell]  2 Te 2.76, 2 P 2.76, 2 Al 2.79
Te (0.0000, 0.0000, 0.5000) [2 per cell]  4 Al 2.76, 2 P 2.79
P (0.0000, 0.5000, 0.5000) [2 per cell]  4 Al 2.76, 2 Te 2.79

Properties
The magnetization comes out at 0.0 μB per formula unit.



Least stable of them? <2>.